5
Lattice="4.050 0.000 0.000 0.000 4.050 0.000 0.000 0.000 6.077" Properties=species:S:1:pos:R:3 comment="InBIO2 PBE relaxed" magmom_total_mub_per_atom=0.001 raw_formation_energy_ev_per_fu=2.7 sg=P4/mmm de_polymorph_ev_per_atom=0.088 vol_a3_per_atom=19.9 pbc="T T T"
B 2.025 2.025 3.038
In 0.000 0.000 0.000
I 0.000 0.000 3.038
O 0.000 2.025 0.000
O 2.025 0.000 0.000